Record 1
Here is PdPb2I after structural relaxation from the Alexandria database. Energies are from PBE.

Cell: 8.673 8.673 8.673 Å, 135.39 135.39 64.92°
Element x y z (fractional)
Pd 0.000 0.000 0.000
Pd 0.750 0.250 0.500
Pb 0.034 0.625 0.909
Pb 0.375 0.284 0.409
Pb 0.716 0.125 0.091
Pb 0.875 0.966 0.591
I 0.250 0.750 0.500
I 0.500 0.500 0.000

energy = -3.560 eV/atom

=====

Record 2
Here is SrZnTe4 after structural relaxation from the Alexandria database. Energies are from PBE.

Cell: 6.498 6.498 6.498 Å, 60.00 60.00 60.00°
Element x y z (fractional)
Sr 0.000 0.000 0.000
Zn 0.750 0.750 0.750
Te 0.375 0.375 0.375
Te 0.375 0.375 0.875
Te 0.375 0.875 0.375
Te 0.875 0.375 0.375

energy = -2.786 eV/atom

=====

Record 3
Here is Tb2CeBe after structural relaxation from the Alexandria database. Energies are from PBE.

Cell: 11.415 11.415 11.415 Å, 17.10 17.10 17.10°
Element x y z (fractional)
Tb 0.085 0.085 0.085
Tb 0.915 0.915 0.915
Ce 0.500 0.500 0.500
Be 0.000 0.000 0.000

energy of formation = 67 kJ per mole of atoms

=====

Record 4
Here is LiGaTcPb2 after structural relaxation from the Alexandria database. Energies are from PBE.

Cell: 5.486 5.486 5.020 Å, 90.00 90.00 90.00°
Element x y z (fractional)
Li 0.000 0.000 0.000
Ga 0.500 0.500 0.000
Tc 0.500 0.500 0.500
Pb 0.000 0.500 0.500
Pb 0.500 0.000 0.500

energy of formation = 26 kJ per mole of atoms

=====

Record 5
Here is H2IF after structural relaxation from the Alexandria database. Energies are from PBE.

Cell: 3.900 3.900 3.900 Å, 60.00 60.00 60.00°
Element x y z (fractional)
H 0.250 0.250 0.250
H 0.750 0.750 0.750
I 0.000 0.000 0.000
F 0.500 0.500 0.500

energy = -2.017 eV/atom

=====

Record 6
Here is SrTmPa2O8 after structural relaxation from the Alexandria database. Energies are from PBE.

Cell: 6.656 6.656 6.656 Å, 131.41 131.41 71.17°
Element x y z (fractional)
Sr 0.000 0.000 0.000
Tm 0.250 0.750 0.500
Pa 0.500 0.500 0.000
Pa 0.750 0.250 0.500
O 0.131 0.139 0.529
O 0.131 0.602 0.992
O 0.398 0.390 0.529
O 0.398 0.869 0.008
O 0.610 0.139 0.008
O 0.610 0.602 0.471
O 0.861 0.390 0.992
O 0.861 0.869 0.471

energy = -8.759 eV/atom

=====

Record 7
Here is YSiHRu after structural relaxation from the Alexandria database. Energies are from PBE.

Cell: 4.090 4.090 7.154 Å, 90.00 90.00 90.00°
Element x y z (fractional)
Y 0.250 0.250 0.160
Y 0.750 0.750 0.840
Si 0.250 0.250 0.669
Si 0.750 0.750 0.331
H 0.250 0.750 0.000
H 0.750 0.250 0.000
Ru 0.250 0.750 0.500
Ru 0.750 0.250 0.500

energy = -6.914 eV/atom

=====

Record 8
Here is V2Pt3 after structural relaxation from the Alexandria database. Energies are from PBE.

Cell: 9.967 9.967 9.967 Å, 164.26 164.26 22.33°
Element x y z (fractional)
V 0.099 0.099 0.000
V 0.901 0.901 0.000
Pt 0.307 0.307 0.000
Pt 0.500 0.500 0.000
Pt 0.693 0.693 0.000

energy of formation = -53 kJ per mole of atoms

=====

Record 9
Here is Sr2PtSe after structural relaxation from the Alexandria database. Energies are from PBE.

Cell: 5.244 5.244 5.244 Å, 60.00 60.00 60.00°
Element x y z (fractional)
Sr 0.000 0.000 0.000
Sr 0.250 0.250 0.250
Pt 0.750 0.750 0.750
Se 0.500 0.500 0.500

energy = -3.787 eV/atom

=====

Record 10
Here is Al2Ag2Au3 after structural relaxation from the Alexandria database. Energies are from PBE.

Cell: 5.095 5.095 6.853 Å, 107.54 107.54 47.84°
Element x y z (fractional)
Al 0.160 0.160 0.200
Al 0.840 0.840 0.800
Ag 0.134 0.134 0.771
Ag 0.866 0.866 0.229
Au 0.371 0.371 0.559
Au 0.500 0.500 0.000
Au 0.629 0.629 0.441

energy of formation = -16 kJ per mole of atoms

=====

Record 11
Here is PrPaAu2 after structural relaxation from the Alexandria database. Energies are from PBE.

Cell: 5.383 5.383 3.412 Å, 90.00 90.00 90.00°
Element x y z (fractional)
Pr 0.000 0.000 0.000
Pa 0.500 0.500 0.000
Au 0.000 0.500 0.500
Au 0.500 0.000 0.500

energy of formation = -40 kJ per mole of atoms

=====

Record 12
Here is Zn3AgAu6 after structural relaxation from the Alexandria database. Energies are from PBE.

Cell: 8.850 4.180 9.205 Å, 90.00 94.52 90.00°
Element x y z (fractional)
Zn 0.051 0.250 0.398
Zn 0.153 0.750 0.191
Zn 0.256 0.250 0.980
Zn 0.744 0.750 0.020
Zn 0.847 0.250 0.809
Zn 0.949 0.750 0.602
Ag 0.449 0.250 0.597
Ag 0.551 0.750 0.403
Au 0.033 0.750 0.899
Au 0.127 0.250 0.692
Au 0.232 0.750 0.487
Au 0.332 0.250 0.286
Au 0.344 0.750 0.792
Au 0.438 0.750 0.095
Au 0.562 0.250 0.905
Au 0.656 0.250 0.208
Au 0.668 0.750 0.714
Au 0.768 0.250 0.513
Au 0.873 0.750 0.308
Au 0.967 0.250 0.101

energy of formation = -14 kJ per mole of atoms

=====

Record 13
Here is LaAgPb after structural relaxation from the Alexandria database. Energies are from PBE.

Cell: 6.637 6.637 6.637 Å, 147.70 147.70 46.32°
Element x y z (fractional)
La 0.000 0.000 0.000
Ag 0.340 0.340 0.000
Pb 0.698 0.698 0.000

energy of formation = -25 kJ per mole of atoms

=====

Record 14
Here is Ba2LaInAu6 after structural relaxation from the Alexandria database. Energies are from PBE.

Cell: 7.857 7.857 7.857 Å, 60.00 60.00 60.00°
Element x y z (fractional)
Ba 0.250 0.250 0.250
Ba 0.750 0.750 0.750
La 0.000 0.000 0.000
In 0.500 0.500 0.500
Au 0.258 0.258 0.742
Au 0.258 0.742 0.258
Au 0.258 0.742 0.742
Au 0.742 0.258 0.258
Au 0.742 0.258 0.742
Au 0.742 0.742 0.258

energy of formation = -31 kJ per mole of atoms

=====

Record 15
Here is Zr2ReIr after structural relaxation from the Alexandria database. Energies are from PBE.

Cell: 5.999 5.999 5.999 Å, 152.48 130.41 57.65°
Element x y z (fractional)
Zr 0.245 0.245 0.000
Zr 0.755 0.755 0.000
Re 0.500 0.500 0.000
Ir 0.000 0.000 0.000

energy of formation = 48 kJ per mole of atoms

=====

Record 16
Here is PuTi2Nb after structural relaxation from the Alexandria database. Energies are from PBE.

Cell: 4.235 4.235 4.230 Å, 90.00 90.00 90.00°
Element x y z (fractional)
Pu 0.000 0.000 0.000
Ti 0.000 0.500 0.500
Ti 0.500 0.000 0.500
Nb 0.500 0.500 0.000

energy of formation = 14 kJ per mole of atoms

=====

Record 17
Here is GaTc3Au after structural relaxation from the Alexandria database. Energies are from PBE.

Cell: 4.936 4.936 4.936 Å, 90.00 90.00 90.00°
Element x y z (fractional)
Ga 0.000 0.000 0.000
Tc 0.000 0.500 0.500
Tc 0.500 0.000 0.500
Tc 0.500 0.500 0.000
Au 0.500 0.500 0.500

energy of formation = 210 kJ per mole of atoms

=====

Record 18
Here is DyMn5P3 after structural relaxation from the Alexandria database. Energies are from PBE.

Cell: 6.255 6.255 10.833 Å, 90.00 90.00 145.18°
Element x y z (fractional)
Dy 0.169 0.831 0.750
Dy 0.831 0.169 0.250
Mn 0.000 0.000 0.000
Mn 0.000 0.000 0.500
Mn 0.192 0.808 0.059
Mn 0.192 0.808 0.441
Mn 0.451 0.549 0.647
Mn 0.451 0.549 0.853
Mn 0.549 0.451 0.147
Mn 0.549 0.451 0.353
Mn 0.808 0.192 0.559
Mn 0.808 0.192 0.941
P 0.115 0.885 0.250
P 0.377 0.623 0.051
P 0.377 0.623 0.449
P 0.623 0.377 0.551
P 0.623 0.377 0.949
P 0.885 0.115 0.750

energy of formation = -63 kJ per mole of atoms

=====

Record 19
Here is FeNiOs2 after structural relaxation from the Alexandria database. Energies are from PBE.

Cell: 4.587 4.587 4.481 Å, 99.79 99.79 33.83°
Element x y z (fractional)
Fe 0.000 0.000 0.000
Ni 0.252 0.252 0.774
Os 0.500 0.500 0.505
Os 0.751 0.751 0.269

energy of formation = 12 kJ per mole of atoms

=====

Record 20
Here is CsTe2PdN after structural relaxation from the Alexandria database. Energies are from PBE.

Cell: 6.318 6.318 3.680 Å, 90.00 90.00 90.00°
Element x y z (fractional)
Cs 0.000 0.000 0.000
Te 0.000 0.500 0.500
Te 0.500 0.000 0.500
Pd 0.500 0.500 0.500
N 0.500 0.500 0.000

energy = -3.794 eV/atom

=====

Record 21
Here is Dy2ScUSb4 after structural relaxation from the Alexandria database. Energies are from PBE.

Cell: 7.491 4.313 7.523 Å, 90.00 109.08 90.00°
Element x y z (fractional)
Dy 0.000 0.000 0.000
Dy 0.000 0.500 0.500
Sc 0.500 0.000 0.500
U 0.500 0.500 0.000
Sb 0.254 0.000 0.744
Sb 0.261 0.500 0.259
Sb 0.739 0.500 0.741
Sb 0.746 0.000 0.256

energy = -6.242 eV/atom

=====

Record 22
Here is LaCd2Cl after structural relaxation from the Alexandria database. Energies are from PBE.

Cell: 10.188 10.188 10.188 Å, 21.02 21.02 21.02°
Element x y z (fractional)
La 0.000 0.000 0.000
Cd 0.496 0.496 0.496
Cd 0.755 0.755 0.755
Cl 0.267 0.267 0.267

energy = -2.807 eV/atom

=====

Record 23
Here is SrHg2W after structural relaxation from the Alexandria database. Energies are from PBE.

Cell: 10.342 10.342 10.342 Å, 17.87 17.87 17.87°
Element x y z (fractional)
Sr 0.000 0.000 0.000
Hg 0.243 0.243 0.243
Hg 0.757 0.757 0.757
W 0.500 0.500 0.500

energy of formation = 72 kJ per mole of atoms

=====

Record 24
Here is K2As2Pd3 after structural relaxation from the Alexandria database. Energies are from PBE.

Cell: 6.517 6.517 7.827 Å, 118.87 118.87 36.12°
Element x y z (fractional)
K 0.122 0.122 0.261
K 0.878 0.878 0.739
As 0.148 0.148 0.717
As 0.852 0.852 0.283
Pd 0.334 0.334 0.093
Pd 0.500 0.500 0.500
Pd 0.666 0.666 0.907

energy of formation = -43 kJ per mole of atoms

=====

Record 25
Here is RbSrYF6 after structural relaxation from the Alexandria database. Energies are from PBE.

Cell: 8.018 8.018 8.018 Å, 120.35 119.54 90.10°
Element x y z (fractional)
Rb 0.391 0.141 0.250
Rb 0.609 0.859 0.750
Sr 0.000 0.000 0.500
Sr 0.000 0.500 0.000
Y 0.000 0.500 0.500
Y 0.500 0.500 0.000
F 0.114 0.864 0.250
F 0.160 0.440 0.333
F 0.160 0.826 0.720
F 0.169 0.419 0.750
F 0.394 0.174 0.833
F 0.394 0.560 0.220
F 0.606 0.440 0.780
F 0.606 0.826 0.167
F 0.831 0.581 0.250
F 0.840 0.174 0.280
F 0.840 0.560 0.667
F 0.886 0.136 0.750

energy = -5.941 eV/atom

=====

Record 26
Here is Pa2GaCu after structural relaxation from the Alexandria database. Energies are from PBE.

Cell: 4.926 4.926 4.926 Å, 60.00 60.00 60.00°
Element x y z (fractional)
Pa 0.250 0.250 0.250
Pa 0.750 0.750 0.750
Ga 0.000 0.000 0.000
Cu 0.500 0.500 0.500

energy of formation = 7 kJ per mole of atoms